# 1
A plane-wave DFT calculation with SCAN was carried out for a PBEsol-optimized structure of IrSe2Br.

```
IrSe2Br
1.0
4.851 0.000 0.000
0.000 4.851 0.000
0.000 0.000 2.985
Ir Se Br
1 2 1
Cartesian
0.000 0.000 0.000 Ir
0.000 2.425 1.492 Se
2.425 0.000 1.492 Se
2.425 2.425 0.000 Br
```

Uncorrected formation energy ... 1.02 eV per atom
Theoretical density ... 10.17 g/cm³
Space-group type ... No. 123
Excess energy over the best structure of this formula in the dataset ... 1.307 eV/atom

# 2
A plane-wave DFT calculation with SCAN was carried out for a PBEsol-optimized structure of YIr3.

```
YIr3
1.0
5.703 0.000 0.000
0.000 7.752 0.000
0.000 0.000 2.876
Y Ir
2 6
Cartesian
0.000 0.000 0.000 Y
2.851 3.876 0.000 Y
0.000 3.876 0.000 Ir
1.426 1.938 1.438 Ir
1.426 5.814 1.438 Ir
2.851 0.000 0.000 Ir
4.277 1.938 1.438 Ir
4.277 5.814 1.438 Ir
```

Theoretical density ... 17.38 g/cm³
Calculated formation energy ... -0.332 eV/atom
Space-group type ... No. 65

# 3
A plane-wave DFT calculation with SCAN was carried out for a PBEsol-optimized structure of Hf2Zn2Ag.

```
Hf2Zn2Ag
1.0
6.646 0.000 0.000
0.000 6.646 0.000
0.000 0.000 3.915
Hf Zn Ag
4 4 2
Cartesian
1.120 2.204 0.000 Hf
2.204 5.527 0.000 Hf
4.443 1.120 0.000 Hf
5.527 4.443 0.000 Hf
0.870 4.194 1.958 Zn
2.453 0.870 1.958 Zn
4.194 5.776 1.958 Zn
5.776 2.453 1.958 Zn
0.000 0.000 1.958 Ag
3.323 3.323 1.958 Ag
```

Theoretical density ... 11.44 g/cm³
Calculated formation energy ... -0.201 eV/atom
Space-group type ... No. 127

# 4
A plane-wave DFT calculation with SCAN was carried out for a PBEsol-optimized structure of NaFe2P2HO8.

```
NaFe2P2HO8
1.0
5.125 0.000 0.000
-1.558 8.278 0.000
-1.892 -1.342 8.426
Na Fe P H O
2 4 4 2 16
Cartesian
-0.709 2.185 2.679 Na
2.384 4.751 5.747 Na
-0.997 7.334 0.621 Fe
-0.528 2.130 6.159 Fe
2.202 4.807 2.266 Fe
2.672 -0.398 7.805 Fe
-0.281 5.748 3.552 P
1.679 2.035 0.600 P
-0.004 4.901 7.826 P
1.956 1.188 4.874 P
-0.428 7.039 5.350 H
2.103 -0.102 3.075 H
-1.168 4.576 3.091 O
0.750 0.935 1.211 O
-0.802 0.805 7.569 O
-1.491 5.254 7.839 O
-0.927 6.250 4.909 O
-0.243 6.909 2.536 O
0.529 1.693 4.579 O
1.391 3.304 1.404 O
0.284 3.632 7.022 O
1.145 5.244 3.847 O
1.918 0.027 5.890 O
2.601 0.687 3.517 O
3.166 1.682 0.587 O
2.477 6.132 0.857 O
0.924 6.001 7.215 O
2.843 2.360 5.335 O
```

Total energy ... -10.22 eV per atom
Theoretical density ... 3.03 g/cm³
Space-group type ... No. 2

# 5
A plane-wave DFT calculation with SCAN was carried out for a PBEsol-optimized structure of Zr2AlZn.

```
Zr2AlZn
1.0
4.272 0.000 0.000
0.000 4.272 0.000
0.000 0.000 7.984
Zr Al Zn
4 2 2
Cartesian
0.000 2.136 1.996 Zr
0.000 2.136 5.988 Zr
2.136 0.000 1.996 Zr
2.136 0.000 5.988 Zr
0.000 0.000 0.000 Al
2.136 2.136 3.992 Al
0.000 0.000 3.992 Zn
2.136 2.136 0.000 Zn
```

Theoretical density ... 6.26 g/cm³
Calculated formation energy ... -0.402 eV/atom
Space-group type ... No. 139

# 6
A plane-wave DFT calculation with SCAN was carried out for a PBEsol-optimized structure of Li2Se3.

```
Li2Se3
1.0
0.000 4.574 7.143
2.804 0.000 7.143
2.804 4.574 0.000
Li Se
4 6
Cartesian
2.103 3.430 1.188 Li
3.505 5.717 4.760 Li
2.103 3.430 9.526 Li
3.505 5.717 13.097 Li
2.804 2.287 3.571 Se
0.701 1.143 1.786 Se
1.402 4.574 3.571 Se
1.402 2.287 7.143 Se
2.804 4.574 7.143 Se
4.908 8.004 12.500 Se
```

Uncorrected formation energy ... -0.63 eV per atom
Theoretical density ... 4.55 g/cm³
Space-group type ... No. 70

# 7
A plane-wave DFT calculation with SCAN was carried out for a PBEsol-optimized structure of BeNiRu2.

```
BeNiRu2
1.0
2.797 0.000 0.000
0.000 4.028 0.000
0.000 0.000 4.189
Be Ni Ru
1 1 2
Cartesian
0.000 0.000 0.000 Be
1.398 0.000 2.095 Ni
0.000 2.014 2.095 Ru
1.398 2.014 0.000 Ru
```

Theoretical density ... 9.49 g/cm³
Calculated formation energy ... 0.149 eV/atom
Space-group type ... No. 47

# 8
A plane-wave DFT calculation with SCAN was carried out for a PBEsol-optimized structure of FeCuTc2.

```
FeCuTc2
1.0
3.049 0.000 0.000
0.000 3.049 0.000
0.000 0.000 5.452
Fe Cu Tc
1 1 2
Cartesian
0.000 0.000 0.000 Fe
1.524 1.524 4.320 Cu
0.000 0.000 2.893 Tc
1.524 1.524 1.476 Tc
```

Theoretical density ... 10.34 g/cm³
Calculated formation energy ... 0.133 eV/atom
Space-group type ... No. 99
Excess energy over the best structure of this formula in the dataset ... 0.000 eV/atom

no.,DOS(E_F) (states/eV/cell)
1,2.5
2,4.9
3,5.9
4,4.9
5,5.7
6,2.5
7,4.1
8,2.1